## SmHfCu4 (PBE)

Data for SmHfCu4 after structural relaxation.

Cell lengths 5.1723, 5.1723, 5.1723 Å; angles 60.00, 60.00, 60.00 degrees
Positions (direct):
Hf 0.2500 0.2500 0.2500
Cu 0.6242 0.6242 0.1275
Cu 0.1275 0.6242 0.6242
Cu 0.6242 0.6242 0.6242
Cu 0.6242 0.1275 0.6242
Sm 0.0000 0.0000 0.0000

Computed properties:
Symmetry: F-43m (216)
Volume (Å³ per atom): 16.31
Density of states at the Fermi level (states/eV/f.u.): 4.0
Raw total energy (eV/atom): -5.207
Total moment (μB per cell): 0.00
ΔH_f (0 K) (kJ/mol of formula units): -18